1.
The following is a DFT calculation (PBE-GGA) of a geometry-optimized NdSmPd2 structure.

Values from the calculation:
Size of the total moment, Bohr magnetons per cell: 0.0
Space-group type: Amm2 (38)
Formation energy, kJ per mole of atoms: -80.9

a = 4.6299 Å, b = 5.7505 Å, c = 5.7505 Å
α = 39.11°, β = 90.00°, γ = 90.00°
Closest atoms and distances in Å follow each position.
Element x y z (fractional)
Nd (0.0000, 0.0000, 0.0000)  7 Pd 3.00-3.09
Sm (0.5000, 0.2735, 0.2735)  7 Pd 3.00-3.09
Pd (0.0000, 0.7235, 0.7235)  2 Pd 2.98, 3 Nd 3.00-3.09, 4 Sm 3.06
Pd (0.5000, 0.5505, 0.5505)  2 Pd 2.98, 3 Sm 3.00-3.09, 4 Nd 3.06

---

2.
The following is a DFT calculation (PBE-GGA) of a geometry-optimized NdSmTlPd2 structure.

Values from the calculation:
Size of the total moment, Bohr magnetons per cell: 0.0
Space-group type: Amm2 (38)

a = 3.7742 Å, b = 7.9139 Å, c = 7.9139 Å
α = 30.90°, β = 90.00°, γ = 90.00°
Closest atoms and distances in Å follow each position.
Element x y z (fractional)
Nd (0.0000, 0.0000, 0.0000)  6 Pd 2.97-3.28
Sm (0.0000, 0.2670, 0.2670)  6 Pd 2.96-3.25
Tl (0.5000, 0.6338, 0.6338)  2 Pd 2.90-2.95
Pd (0.5000, 0.4404, 0.4404)  2 Pd 2.75, 1 Tl 2.95, 4 Nd 2.97
Pd (0.5000, 0.8242, 0.8242)  2 Pd 2.75, 1 Tl 2.90, 4 Sm 2.96

---

3.
The following is a DFT calculation (PBE-GGA) of a geometry-optimized NdSn2Pd3 structure.

Values from the calculation:
Size of the total moment, Bohr magnetons per cell: 0.0
Space-group type: Pnma (62)

a = 9.7730 Å, b = 4.8048 Å, c = 10.2622 Å
α = 90.00°, β = 90.00°, γ = 90.00°
Closest atoms and distances in Å follow each position.
Element x y z (fractional)
Nd (0.2376, 0.2500, 0.0686)  7 Pd 3.02-3.28, 1 Sn 3.23
Nd (0.2624, 0.7500, 0.5686)  7 Pd 3.02-3.28, 1 Sn 3.23
Nd (0.7376, 0.2500, 0.4314)  7 Pd 3.02-3.28, 1 Sn 3.23
Nd (0.7624, 0.7500, 0.9314)  7 Pd 3.02-3.28, 1 Sn 3.23
Sn (0.0233, 0.2500, 0.6269)  6 Pd 2.69-2.88
Sn (0.1136, 0.7500, 0.8500)  7 Pd 2.68-3.00
Sn (0.3864, 0.2500, 0.3500)  7 Pd 2.68-3.00
Sn (0.4767, 0.7500, 0.1269)  6 Pd 2.69-2.88
Sn (0.5233, 0.2500, 0.8731)  6 Pd 2.69-2.88
Sn (0.6136, 0.7500, 0.6500)  7 Pd 2.68-3.00
Sn (0.8864, 0.2500, 0.1500)  7 Pd 2.68-3.00
Sn (0.9767, 0.7500, 0.3731)  6 Pd 2.69-2.88
Pd (0.0195, 0.7500, 0.0955)  4 Sn 2.68-2.88, 2 Pd 2.87-2.99
Pd (0.0994, 0.2500, 0.3604)  5 Sn 2.69-3.00, 2 Pd 2.94
Pd (0.2460, 0.7500, 0.2735)  4 Sn 2.71-2.88, 4 Pd 2.87-2.99, 1 Nd 3.03
Pd (0.2540, 0.2500, 0.7735)  4 Sn 2.71-2.88, 4 Pd 2.87-2.99, 1 Nd 3.03
Pd (0.4006, 0.7500, 0.8604)  5 Sn 2.69-3.00, 2 Pd 2.94
Pd (0.4805, 0.2500, 0.5955)  4 Sn 2.68-2.88, 2 Pd 2.87-2.99
Pd (0.5195, 0.7500, 0.4045)  4 Sn 2.68-2.88, 2 Pd 2.87-2.99
Pd (0.5994, 0.2500, 0.1396)  5 Sn 2.69-3.00, 2 Pd 2.94
Pd (0.7460, 0.7500, 0.2265)  4 Sn 2.71-2.88, 4 Pd 2.87-2.99, 1 Nd 3.03
Pd (0.7540, 0.2500, 0.7265)  4 Sn 2.71-2.88, 4 Pd 2.87-2.99, 1 Nd 3.03
Pd (0.9006, 0.7500, 0.6396)  5 Sn 2.69-3.00, 2 Pd 2.94
Pd (0.9805, 0.2500, 0.9045)  4 Sn 2.68-2.88, 2 Pd 2.87-2.99

---

4.
The following is a DFT calculation (PBE-GGA) of a geometry-optimized Nd2SnPd structure.

Values from the calculation:
Size of the total moment, Bohr magnetons per cell: 0.0
Space-group type: Amm2 (38)

a = 4.6039 Å, b = 6.1157 Å, c = 6.1157 Å
α = 39.23°, β = 90.00°, γ = 90.00°
Closest atoms and distances in Å follow each position.
Element x y z (fractional)
Nd (0.0000, 0.0000, 0.0000)  3 Pd 3.16-3.31, 4 Sn 3.18
Nd (0.5000, 0.2850, 0.2850)  4 Pd 3.16, 3 Sn 3.24-3.25
Sn (0.5000, 0.5671, 0.5671)  2 Pd 2.94, 7 Nd 3.18-3.25
Pd (0.0000, 0.7255, 0.7255)  2 Sn 2.94, 5 Nd 3.16

---

5.
The following is a DFT calculation (PBE-GGA) of a geometry-optimized Nd2Sn5Pd3 structure.

Values from the calculation:
Size of the total moment, Bohr magnetons per cell: 0.0
Space-group type: Ibam (72)

a = 9.0992 Å, b = 9.0992 Å, c = 9.0992 Å
α = 106.11°, β = 89.15°, γ = 137.50°
Closest atoms and distances in Å follow each position.
Element x y z (fractional)
Nd (0.1421, 0.2294, 0.3715)  10 Sn 3.22-3.55, 3 Pd 3.34-3.57
Nd (0.3579, 0.7294, 0.0873)  10 Sn 3.22-3.55, 3 Pd 3.34-3.57
Nd (0.6421, 0.2706, 0.9127)  10 Sn 3.22-3.55, 3 Pd 3.34-3.57
Nd (0.8579, 0.7706, 0.6285)  10 Sn 3.22-3.55, 3 Pd 3.34-3.57
Sn (0.0275, 0.7500, 0.2775)  3 Pd 2.67-2.88
Sn (0.0906, 0.6675, 0.7581)  3 Pd 2.58-2.73
Sn (0.2500, 0.2500, 0.0000)  4 Pd 2.72
Sn (0.4094, 0.1675, 0.5769)  3 Pd 2.58-2.73
Sn (0.4725, 0.7500, 0.7225)  3 Pd 2.67-2.88
Sn (0.5275, 0.2500, 0.2775)  3 Pd 2.67-2.88
Sn (0.5906, 0.8325, 0.4231)  3 Pd 2.58-2.73
Sn (0.7500, 0.7500, 0.0000)  4 Pd 2.72
Sn (0.9094, 0.3325, 0.2419)  3 Pd 2.58-2.73
Sn (0.9725, 0.2500, 0.7225)  3 Pd 2.67-2.88
Pd (0.1416, 0.8954, 0.0370)  5 Sn 2.58-2.72
Pd (0.2500, 0.7500, 0.5000)  6 Sn 2.73-2.88
Pd (0.3584, 0.3954, 0.7538)  5 Sn 2.58-2.72
Pd (0.6416, 0.6046, 0.2462)  5 Sn 2.58-2.72
Pd (0.7500, 0.2500, 0.5000)  6 Sn 2.73-2.88
Pd (0.8584, 0.1046, 0.9630)  5 Sn 2.58-2.72

---

6.
The following is a DFT calculation (PBE-GGA) of a geometry-optimized NdSnPd structure.

Values from the calculation:
Size of the total moment, Bohr magnetons per cell: 0.0
Space-group type: P-62m (189)

a = 7.5950 Å, b = 7.5950 Å, c = 4.1613 Å
α = 90.00°, β = 90.00°, γ = 120.00°
Closest atoms and distances in Å follow each position.
Element x y z (fractional)
Nd (0.0000, 0.5859, 0.0000)  5 Pd 3.09-3.15, 6 Sn 3.29-3.44
Nd (0.4141, 0.4141, 0.0000)  5 Pd 3.09-3.15, 6 Sn 3.29-3.44
Nd (0.5859, 0.0000, 0.0000)  5 Pd 3.09-3.15, 6 Sn 3.29-3.44
Sn (0.0000, 0.2511, 0.5000)  4 Pd 2.82-2.89
Sn (0.2511, 0.0000, 0.5000)  4 Pd 2.82-2.89
Sn (0.7489, 0.7489, 0.5000)  4 Pd 2.82-2.89
Pd (0.0000, 0.0000, 0.0000)  6 Sn 2.82, 3 Nd 3.15
Pd (0.3333, 0.6667, 0.5000)  3 Sn 2.89, 6 Nd 3.09
Pd (0.6667, 0.3333, 0.5000)  3 Sn 2.89, 6 Nd 3.09

---

7.
The following is a DFT calculation (PBE-GGA) of a geometry-optimized NdSnPd structure.

Values from the calculation:
Size of the total moment, Bohr magnetons per cell: 0.0
Space-group type: P-62m (189)

a = 8.4412 Å, b = 8.4412 Å, c = 3.4867 Å
α = 90.00°, β = 90.00°, γ = 120.00°
Closest atoms and distances in Å follow each position.
Element x y z (fractional)
Nd (0.0000, 0.2955, 0.0000)  4 Sn 2.99-3.04, 4 Pd 3.31
Nd (0.2955, 0.0000, 0.0000)  4 Sn 2.99-3.04, 4 Pd 3.31
Nd (0.7045, 0.7045, 0.0000)  4 Sn 2.99-3.04, 4 Pd 3.31
Sn (0.0000, 0.0000, 0.5000)  6 Nd 3.04, 3 Pd 3.05
Sn (0.3333, 0.6667, 0.0000)  3 Nd 2.99, 6 Pd 3.22
Sn (0.6667, 0.3333, 0.0000)  3 Nd 2.99, 6 Pd 3.22
Pd (0.0000, 0.6389, 0.5000)  5 Sn 3.05-3.22, 6 Nd 3.31-3.38
Pd (0.3611, 0.3611, 0.5000)  5 Sn 3.05-3.22, 6 Nd 3.31-3.38
Pd (0.6389, 0.0000, 0.5000)  5 Sn 3.05-3.22, 6 Nd 3.31-3.38

---

8.
The following is a DFT calculation (PBE-GGA) of a geometry-optimized NdSnPd structure.

Values from the calculation:
Size of the total moment, Bohr magnetons per cell: 0.0
Space-group type: P-62m (189)

a = 7.3253 Å, b = 7.3253 Å, c = 4.5508 Å
α = 90.00°, β = 90.00°, γ = 120.00°
Closest atoms and distances in Å follow each position.
Element x y z (fractional)
Nd (0.0000, 0.5718, 0.0000)  5 Sn 3.14-3.15, 2 Pd 3.34
Nd (0.4282, 0.4282, 0.0000)  5 Sn 3.14-3.15, 2 Pd 3.34
Nd (0.5718, 0.0000, 0.0000)  5 Sn 3.14-3.15, 2 Pd 3.34
Sn (0.0000, 0.0000, 0.0000)  6 Pd 2.87, 3 Nd 3.14
Sn (0.3333, 0.6667, 0.5000)  3 Pd 2.85, 6 Nd 3.15
Sn (0.6667, 0.3333, 0.5000)  3 Pd 2.85, 6 Nd 3.15
Pd (0.0000, 0.2388, 0.5000)  4 Sn 2.85-2.87, 2 Pd 3.03
Pd (0.2388, 0.0000, 0.5000)  4 Sn 2.85-2.87, 2 Pd 3.03
Pd (0.7612, 0.7612, 0.5000)  4 Sn 2.85-2.87, 2 Pd 3.03

---

9.
The following is a DFT calculation (PBE-GGA) of a geometry-optimized NdSnPd structure.

Values from the calculation:
Size of the total moment, Bohr magnetons per cell: 0.0
Space-group type: Pnma (62)

a = 7.5056 Å, b = 4.7233 Å, c = 8.0124 Å
α = 90.00°, β = 90.00°, γ = 90.00°
Closest atoms and distances in Å follow each position.
Element x y z (fractional)
Nd (0.0119, 0.2500, 0.2022)  6 Pd 3.15-3.47, 6 Sn 3.27-3.38
Nd (0.4881, 0.7500, 0.7022)  6 Pd 3.15-3.47, 6 Sn 3.27-3.38
Nd (0.5119, 0.2500, 0.2978)  6 Pd 3.15-3.47, 6 Sn 3.27-3.38
Nd (0.9881, 0.7500, 0.7978)  6 Pd 3.15-3.47, 6 Sn 3.27-3.38
Sn (0.1901, 0.2500, 0.5885)  4 Pd 2.73-2.92
Sn (0.3099, 0.7500, 0.0885)  4 Pd 2.73-2.92
Sn (0.6901, 0.2500, 0.9115)  4 Pd 2.73-2.92
Sn (0.8099, 0.7500, 0.4115)  4 Pd 2.73-2.92
Pd (0.1989, 0.7500, 0.4170)  4 Sn 2.73-2.92
Pd (0.3011, 0.2500, 0.9170)  4 Sn 2.73-2.92
Pd (0.6989, 0.7500, 0.0830)  4 Sn 2.73-2.92
Pd (0.8011, 0.2500, 0.5830)  4 Sn 2.73-2.92

---

10.
The following is a DFT calculation (PBE-GGA) of a geometry-optimized Nd2TlSnPd4 structure.

Values from the calculation:
Size of the total moment, Bohr magnetons per cell: 0.0
Space-group type: P-3m1 (164)

a = 4.6909 Å, b = 4.6909 Å, c = 9.1103 Å
α = 90.00°, β = 90.00°, γ = 120.00°
Closest atoms and distances in Å follow each position.
Element x y z (fractional)
Nd (0.3333, 0.6667, 0.2511)  8 Pd 3.03-3.10
Nd (0.6667, 0.3333, 0.7489)  8 Pd 3.03-3.10
Tl (0.0000, 0.0000, 0.0000)  6 Pd 2.82
Sn (0.0000, 0.0000, 0.5000)  6 Pd 2.81
Pd (0.3333, 0.6667, 0.5840)  3 Sn 2.81, 4 Pd 3.00-3.11, 4 Nd 3.03-3.10
Pd (0.3333, 0.6667, 0.9136)  3 Tl 2.82, 4 Pd 3.00-3.13, 4 Nd 3.07-3.10
Pd (0.6667, 0.3333, 0.0864)  3 Tl 2.82, 4 Pd 3.00-3.13, 4 Nd 3.07-3.10
Pd (0.6667, 0.3333, 0.4160)  3 Sn 2.81, 4 Pd 3.00-3.11, 4 Nd 3.03-3.10

---

| no. | raw total energy (eV/cell) |
| --- | --- |
| 1 | -23.177 |
| 2 | -25.852 |
| 3 | -132.019 |
| 4 | -21.674 |
| 5 | -104.155 |
| 6 | -50.073 |
| 7 | -45.756 |
| 8 | -48.958 |
| 9 | -66.680 |
| 10 | -42.490 |